HoPu3Tl4Se8 | Alexandria | PBE | optimized geometry; symmetry = No. 166; calculated volume = 477.5 Å³ per cell; calculated total energy = -6.480 eV per atom
1.0
4.227 2.441 7.714
-4.227 2.441 7.714
0.000 -4.881 7.714
Ho Pu Tl Se
1 3 4 8
Direct
0.000 0.000 0.000 Ho
0.000 0.500 0.500 Pu
0.500 0.000 0.500 Pu
0.500 0.500 0.000 Pu
0.000 0.000 0.500 Tl
0.000 0.500 0.000 Tl
0.500 0.000 0.000 Tl
0.500 0.500 0.500 Tl
0.233 0.233 0.738 Se
0.233 0.738 0.233 Se
0.262 0.767 0.767 Se
0.266 0.266 0.266 Se
0.734 0.734 0.734 Se
0.738 0.233 0.233 Se
0.767 0.262 0.767 Se
0.767 0.767 0.262 Se